A plane-wave DFT calculation with SCAN was carried out for a crystal of ZrSnSeO2 relaxed with PBEsol.

a b c (Å): 4.005 4.005 6.568
angles (deg): 90.00 90.00 90.00
Atoms (fractional coordinates):
O 0.000 0.500 0.000
O 0.500 0.000 0.000
Se 0.500 0.500 0.500
Sn 0.000 0.000 0.500
Zr 0.000 0.000 0.000

Calculated values
E_form (uncorrected)   -1.53 eV per atom
Calculated volume   105.4 Å³ per cell
DOS at the Fermi energy   0.59 states/eV per atom
Energy   -21.363 eV per atom
Magnetization   0.0 μB per formula unit